Record 1
Material: K2BrF7
Method: DFT, PBE
State: relaxed

Results
The total energy comes out at -3.41 eV per atom. The formation energy from raw total energies comes out at -165 kJ/mol of atoms. The spin magnetization is 0.000 μB per cell.

Cell lengths 13.7240, 6.5940, 9.7203 Å; angles 90.00, 130.87, 90.00 degrees
Space group C2/c (No. 15)
Asymmetric unit:
K: 0.1513 0.1482 0.2365 (multiplicity 8)
Br: 0.0000 0.3073 0.7500 (multiplicity 4)
F: 0.0000 0.3938 0.2500 (multiplicity 4)
F: 0.0774 0.0478 0.9131 (multiplicity 8)
F: 0.1104 0.3093 0.6959 (multiplicity 8)
F: 0.1474 0.3932 0.0009 (multiplicity 8)



Record 2
Material: HfBeSCl2
Method: DFT, PBE
State: relaxed

Results
The total energy comes out at -4.57 eV per atom. The formation energy from raw total energies comes out at -26 kJ/mol of atoms. The spin magnetization is 1.421 μB per cell.

Cell lengths 4.2223, 4.2223, 4.8317 Å; angles 90.00, 90.00, 90.00 degrees
Space group P4/mmm (No. 123)
Asymmetric unit:
Hf: 0.0000 0.0000 0.0000 (multiplicity 1)
Be: 0.5000 0.5000 0.5000 (multiplicity 1)
S: 0.5000 0.5000 0.0000 (multiplicity 1)
Cl: 0.0000 0.5000 0.5000 (multiplicity 2)



Record 3
Material: Tb3Ho4Er
Method: DFT, PBE
State: relaxed

Results
The total energy comes out at -4.59 eV per atom. The spin magnetization is 0.001 μB per cell. As for the formation enthalpy at 0 K: 5 meV/atom.

Cell lengths 11.1785, 7.2256, 6.2473 Å; angles 90.00, 90.00, 90.00 degrees
Space group Pmn2_1 (No. 31)
Asymmetric unit:
Tb: 0.0000 0.1258 0.0000 (multiplicity 2)
Tb: 0.2501 0.1254 0.3331 (multiplicity 4)
Ho: 0.0000 0.3754 0.5011 (multiplicity 2)
Ho: 0.0000 0.6239 0.9996 (multiplicity 2)
Ho: 0.2491 0.6245 0.3332 (multiplicity 4)
Er: 0.0000 0.8742 0.4997 (multiplicity 2)



Record 4
Material: Pr4TmCd
Method: DFT, PBE
State: relaxed

Results
The total energy comes out at -4.18 eV per atom. The spin magnetization is 0.000 μB per cell. As for the formation enthalpy at 0 K: -92 meV/atom.

Cell lengths 3.7159, 3.7159, 14.2888 Å; angles 90.00, 90.00, 90.00 degrees
Space group P4/mmm (No. 123)
Asymmetric unit:
Pr: 0.0000 0.0000 0.1479 (multiplicity 2)
Pr: 0.5000 0.5000 0.3281 (multiplicity 2)
Tm: 0.0000 0.0000 0.5000 (multiplicity 1)
Cd: 0.5000 0.5000 0.0000 (multiplicity 1)



Record 5
Material: HfInSb2Te
Method: DFT, PBE
State: relaxed

Results
The total energy comes out at -3.79 eV per atom. The formation energy from raw total energies comes out at 99 kJ/mol of atoms. The spin magnetization is 0.002 μB per cell.

Cell lengths 5.5958, 5.5958, 5.7443 Å; angles 90.00, 90.00, 90.00 degrees
Space group P4/mmm (No. 123)
Asymmetric unit:
Hf: 0.0000 0.0000 0.0000 (multiplicity 1)
In: 0.5000 0.5000 0.5000 (multiplicity 1)
Sb: 0.0000 0.5000 0.5000 (multiplicity 2)
Te: 0.5000 0.5000 0.0000 (multiplicity 1)



Record 6
Material: RbPuS4
Method: DFT, PBE
State: relaxed

Results
The total energy comes out at -6.24 eV per atom. The formation energy from raw total energies comes out at -91 kJ/mol of atoms. The spin magnetization is 11.991 μB per cell.

Cell lengths 14.2350, 7.3813, 7.3109 Å; angles 90.00, 95.38, 90.00 degrees
Space group C2/m (No. 12)
Asymmetric unit:
Rb: 0.1925 0.0000 0.1800 (multiplicity 4)
Pu: 0.0392 0.5000 0.2614 (multiplicity 4)
S: 0.0000 0.2686 0.0000 (multiplicity 4)
S: 0.0717 0.2557 0.5354 (multiplicity 8)
S: 0.2106 0.5000 0.2378 (multiplicity 4)